(1)
! SrCu2Re PBE relaxed; values from VASP
&SYSTEM
  ibrav = 0, nat = 4, ntyp = 3
/
ATOMIC_SPECIES
Sr 87.62 Sr.upf
Cu 63.55 Cu.upf
Re 186.21 Re.upf
CELL_PARAMETERS angstrom
1.451 0.838 9.339
-1.451 0.838 9.339
0.000 -1.676 9.339
ATOMIC_POSITIONS crystal
Sr 0.000 0.000 0.000
Cu 0.495 0.495 0.495
Cu 0.762 0.762 0.762
Re 0.235 0.235 0.235
! space group: R3m (160)
! crystal system: trigonal
! energy: -4.718 eV/atom
! energy of formation from the pure elements: 0.86 eV/atom
! DOS(E_F): 5.111 states/eV/f.u.
! energy above the most stable polymorph in this dataset: 285.2 meV/atom

=====

(2)
! SrCuRe2 PBE relaxed; values from VASP
&SYSTEM
  ibrav = 0, nat = 4, ntyp = 3
/
ATOMIC_SPECIES
Sr 87.62 Sr.upf
Cu 63.55 Cu.upf
Re 186.21 Re.upf
CELL_PARAMETERS angstrom
2.721 -5.037 0.000
2.721 5.037 0.000
0.000 0.000 2.616
ATOMIC_POSITIONS crystal
Sr 0.000 0.000 0.000
Cu 0.500 0.500 0.000
Re 0.000 0.500 0.500
Re 0.500 0.000 0.500
! space group: Cmmm (65)
! crystal system: orthorhombic
! energy: -6.612 eV/atom
! energy of formation from the pure elements: 1.06 eV/atom
! DOS(E_F): 2.692 states/eV/f.u.
! energy above the most stable polymorph in this dataset: 676.2 meV/atom

=====

> Among the records above, which one has the lowest DOS(E_F)?

SrCuRe2